# 1
NiHgF3: optimized geometry, PBEsol.

Summary:
size of the total moment = 1.1 μB/cell
energy = -14.7 eV per formula unit
raw formation energy = -430 meV per atom

Cell: 4.442 4.442 4.442 Å, 90.00 90.00 90.00°
Space group Pm-3m (No. 221)
One atom of each set of equivalent atoms:
Ni 0.000 0.000 0.000
Hg 0.500 0.500 0.500
F 0.000 0.500 0.500

# 2
Cs3GaPb: optimized geometry, PBEsol.

Summary:
size of the total moment = 2.1 μB/cell
formation energy from the elements = 0.40 eV/atom
energy = -8.2 eV per formula unit

Cell: 6.725 6.725 6.725 Å, 90.00 90.00 90.00°
Space group Pm-3m (No. 221)
One atom of each set of equivalent atoms:
Cs 0.000 0.000 0.500
Ga 0.000 0.000 0.000
Pb 0.500 0.500 0.500

# 3
LiLa2Tl: optimized geometry, PBEsol.

Summary:
size of the total moment = 0.0 μB/cell
formation energy from the elements = -0.22 eV/atom
energy = -16.2 eV per formula unit

Cell: 3.836 5.316 10.782 Å, 90.00 90.00 90.00°
Space group Imm2 (No. 44)
One atom of each set of equivalent atoms:
Li 0.000 0.000 0.000
La 0.000 0.000 0.458
La 0.000 0.500 0.233
Tl 0.000 0.500 0.683

# 4
AlTc2P: optimized geometry, PBEsol.

Summary:
size of the total moment = 0.0 μB/cell
formation energy from the elements = -0.08 eV/atom
energy = -32.7 eV per formula unit

Cell: 5.591 7.790 2.814 Å, 90.00 116.88 90.00°
Space group C2/m (No. 12)
One atom of each set of equivalent atoms:
Al 0.000 0.000 0.000
Tc 0.250 0.250 0.500
P 0.000 0.500 0.000

# 5
Sc2WBr: optimized geometry, PBEsol.

Summary:
size of the total moment = 0.0 μB/cell
energy = -27.6 eV per formula unit
raw formation energy = 325 meV per atom

Cell: 3.314 5.308 8.753 Å, 90.00 90.00 90.00°
Space group Immm (No. 71)
One atom of each set of equivalent atoms:
Sc 0.000 0.000 0.247
W 0.000 0.500 0.000
Br 0.000 0.500 0.500

# 6
Co2TeRh: optimized geometry, PBEsol.

Summary:
size of the total moment = 2.9 μB/cell
energy = -26.2 eV per formula unit
raw formation energy = 234 meV per atom

Cell: 3.002 3.452 5.390 Å, 90.00 90.00 90.00°
Space group Pmm2 (No. 25)
One atom of each set of equivalent atoms:
Co 0.000 0.000 0.000
Co 0.500 0.500 0.196
Te 0.500 0.500 0.728
Rh 0.000 0.000 0.458

# 7
CuHgW: optimized geometry, PBEsol.

Summary:
size of the total moment = 0.0 μB/cell
formation energy from the elements = 0.77 eV/atom
energy = -16.4 eV per formula unit

Cell: 4.4029 4.4029 2.7919 Å, 90.00 90.00 120.00°
Space group P-6m2 (No. 187)
One atom of each set of equivalent atoms:
Cu 0.0000 0.0000 0.0000
Hg 0.3333 0.6667 0.0000
W 0.6667 0.3333 0.5000

# 8
LaZrW2: optimized geometry, PBEsol.

Summary:
size of the total moment = 0.0 μB/cell
formation energy from the elements = 0.54 eV/atom
energy = -39.9 eV per formula unit

Cell: 6.755 6.755 6.755 Å, 90.00 90.00 90.00°
Space group F-43m (No. 216)
One atom of each set of equivalent atoms:
La 0.000 0.000 0.000
Zr 0.250 0.250 0.750
W 0.000 0.000 0.500
W 0.250 0.250 0.250

# 9
La5Rh: optimized geometry, PBEsol.

Summary:
size of the total moment = 0.0 μB/cell
formation energy from the elements = -0.20 eV/atom
energy = -36.1 eV per formula unit

Cell: 12.060 3.816 8.273 Å, 90.00 107.39 90.00°
Space group C2/m (No. 12)
One atom of each set of equivalent atoms:
La 0.000 0.000 0.000
La 0.124 0.500 0.379
La 0.178 0.500 0.820
Rh 0.000 0.000 0.500

# 10
KNi2Au2: optimized geometry, PBEsol.

Summary:
size of the total moment = 1.8 μB/cell
formation energy from the elements = 0.35 eV/atom
energy = -19.6 eV per formula unit

Cell: 4.047 4.047 11.466 Å, 90.00 90.00 90.00°
Space group I4/mmm (No. 139)
One atom of each set of equivalent atoms:
K 0.000 0.000 0.000
Ni 0.000 0.500 0.250
Au 0.000 0.000 0.382

# 11
Te3PIr: optimized geometry, PBEsol.

Summary:
size of the total moment = 0.0 μB/cell
energy = -21.8 eV per formula unit
raw formation energy = 879 meV per atom

Cell: 5.129 5.129 5.129 Å, 90.00 90.00 90.00°
Space group Pm-3m (No. 221)
One atom of each set of equivalent atoms:
Te 0.000 0.000 0.500
P 0.500 0.500 0.500
Ir 0.000 0.000 0.000

# 12
Mg3AgF: optimized geometry, PBEsol.

Summary:
size of the total moment = 0.0 μB/cell
energy = -11.6 eV per formula unit
raw formation energy = -239 meV per atom

Cell: 5.051 5.051 5.051 Å, 90.00 90.00 90.00°
Space group Pm-3m (No. 221)
One atom of each set of equivalent atoms:
Mg 0.000 0.000 0.500
Ag 0.000 0.000 0.000
F 0.500 0.500 0.500